Entry 1:
RbThHg | PBE | optimized geometry

Computed properties:
The formation energy is 0.2412 eV/atom. Its symmetry is Amm2.

Cell: 3.6588 3.6577 18.7740 Å, 90.00 90.00 120.01°
Element x y z (fractional)
Rb  0.6078  0.2156  0.6598
Th  0.2812  0.5624  0.8642
Th  0.2812  0.5624  0.1358
Rb  0.6078  0.2156  0.3402
Hg  0.2740  0.5480  0.5000
Hg  0.6145  0.2291  0.0000

***

Entry 2:
RbTi2Hg | PBE | optimized geometry

Computed properties:
The formation energy is 0.9320 eV/atom. Its symmetry is I-42d.

Cell: 4.6723 4.6723 11.4268 Å, 78.20 78.20 90.00°
Element x y z (fractional)
Ti  0.8750  0.0696  0.7500
Rb  0.5000  0.5000  0.0000
Hg  0.7500  0.2500  0.5000
Ti  0.9304  0.6250  0.2500
Rb  0.2500  0.7500  0.5000
Ti  0.8196  0.1250  0.2500
Hg  0.0000  0.0000  0.0000
Ti  0.3750  0.1804  0.7500

***

Entry 3:
RbTiHg2 | PBE | optimized geometry

Computed properties:
The formation energy is 0.4329 eV/atom. Its symmetry is I-42d.

Cell: 5.9941 5.9941 10.1298 Å, 72.79 72.79 90.00°
Site moments in Bohr magnetons follow the coordinates.
Element x y z (fractional)
Hg  0.3750  0.5624  0.7500  0.07
Hg  0.3124  0.6250  0.2500  0.04
Hg  0.8750  0.6876  0.7500  0.08
Rb  0.0000  0.0000  0.0000  0.01
Hg  0.4376  0.1250  0.2500  0.04
Ti  0.2500  0.7500  0.5000  1.70
Rb  0.7500  0.2500  0.5000  0.01
Ti  0.5000  0.5000  0.0000  1.71

***

Entry 4:
RbTiHg2 | PBE | optimized geometry

Computed properties:
The formation energy is 0.5323 eV/atom. Its symmetry is Fm-3m.

Cell: 5.3868 5.3868 5.3868 Å, 60.00 60.00 60.00°
Element x y z (fractional)
Hg  0.7500  0.7500  0.7500
Rb  0.5000  0.5000  0.5000
Ti  0.0000  0.0000  0.0000
Hg  0.2500  0.2500  0.2500

***

Entry 5:
Rb3TiHg | PBE | optimized geometry

Computed properties:
The formation energy is 0.8013 eV/atom. Its symmetry is Pm-3m.

Cell: 7.1152 7.1152 7.1152 Å, 90.00 90.00 90.00°
Site moments in Bohr magnetons follow the coordinates.
Element x y z (fractional)
Rb  0.5000  0.0000  0.0000  0.05
Rb  0.0000  0.0000  0.5000  0.04
Hg  0.5000  0.5000  0.5000  0.03
Rb  0.0000  0.5000  0.0000  0.04
Ti  0.0000  0.0000  0.0000  2.23

***

Entry 6:
Rb2TiHg | PBE | optimized geometry

Computed properties:
The formation energy is 0.6425 eV/atom. Its symmetry is I-42d.

Cell: 12.8288 12.8288 9.4861 Å, 47.45 47.45 90.00°
Site moments in Bohr magnetons follow the coordinates.
Element x y z (fractional)
Ti  0.2500  0.7500  0.5000  1.92
Ti  0.5000  0.5000  0.0000  1.92
Hg  0.0000  0.0000  0.0000  0.09
Rb  0.3750  0.2294  0.7500  0.01
Rb  0.9794  0.6250  0.2500  0.01
Rb  0.8750  0.0206  0.7500  0.01
Hg  0.7500  0.2500  0.5000  0.08
Rb  0.7706  0.1250  0.2500  0.01

***

Entry 7:
RbTiZn2Hg | PBE | optimized geometry

Computed properties:
The formation energy is 1.3315 eV/atom. Its symmetry is P4/mmm.

Cell: 6.8094 6.9587 6.8094 Å, 90.00 90.00 90.00°
Site moments in Bohr magnetons follow the coordinates.
Element x y z (fractional)
Rb  0.0000  0.0000  0.0000  0.02
Ti  0.0000  0.5000  0.0000  2.14
Zn  0.0000  0.0000  0.5000  0.00
Zn  0.5000  0.0000  0.0000  0.01
Hg  0.5000  0.5000  0.5000  0.00

***

Entry 8:
RbTlHg6 | PBE | optimized geometry

Computed properties:
The formation energy is -0.1087 eV/atom. Its symmetry is Amm2.

Cell: 5.6094 7.1319 7.1319 Å, 119.96 90.00 90.00°
Element x y z (fractional)
Hg  0.0000  0.5966  0.9451
Tl  0.0000  0.0825  0.9175
Hg  0.0000  0.0549  0.4034
Hg  0.5000  0.4217  0.0847
Hg  0.0000  0.5980  0.4020
Rb  0.5000  0.4174  0.5826
Hg  0.5000  0.9133  0.0867
Hg  0.5000  0.9153  0.5783

***

Entry 9:
RbTl12Hg4 | PBE | optimized geometry

Computed properties:
The formation energy is 0.0876 eV/atom. Its symmetry is Im-3.

Cell: 9.1765 9.1765 9.1765 Å, 109.47 109.47 109.47°
Element x y z (fractional)
Tl  0.3543  0.5088  0.1545
Tl  0.8002  0.1545  0.6457
Hg  0.5000  0.0000  0.0000
Tl  0.4912  0.8455  0.6457
Tl  0.8455  0.3543  0.1998
Tl  0.5088  0.1545  0.3543
Tl  0.8455  0.6457  0.4912
Hg  0.0000  0.5000  0.0000
Tl  0.1545  0.3543  0.5088
Tl  0.6457  0.8002  0.1545
Tl  0.1998  0.8455  0.3543
Rb  0.0000  0.0000  0.0000
Hg  0.0000  0.0000  0.5000
Tl  0.3543  0.1998  0.8455
Tl  0.6457  0.4912  0.8455
Tl  0.1545  0.6457  0.8002
Hg  0.5000  0.5000  0.5000

***

Entry 10:
Rb2TlHg | PBE | optimized geometry

Computed properties:
The formation energy is -0.0211 eV/atom. Its symmetry is Fm-3m.

Cell: 6.2979 6.2979 6.2979 Å, 60.00 60.00 60.00°
Element x y z (fractional)
Hg  0.0000  0.0000  0.0000
Tl  0.5000  0.5000  0.5000
Rb  0.7500  0.7500  0.7500
Rb  0.2500  0.2500  0.2500

***

Entry 11:
Rb2TlHg | PBE | optimized geometry

Computed properties:
The formation energy is 0.0222 eV/atom. Its symmetry is I-42d.

Cell: 10.1054 10.1054 8.0304 Å, 51.01 51.01 90.00°
Element x y z (fractional)
Hg  0.2500  0.7500  0.5000
Tl  0.0000  0.0000  0.0000
Rb  0.1454  0.6250  0.2500
Tl  0.7500  0.2500  0.5000
Rb  0.3750  0.3954  0.7500
Hg  0.5000  0.5000  0.0000
Rb  0.8750  0.8546  0.7500
Rb  0.6046  0.1250  0.2500

***

Entry 12:
RbTl4Hg2 | PBE | optimized geometry

Computed properties:
The formation energy is -0.1122 eV/atom. Its symmetry is Cmmm.

Cell: 5.0791 5.2026 9.4076 Å, 106.05 90.00 90.00°
Element x y z (fractional)
Tl  0.0000  0.6898  0.3797
Hg  0.5000  0.4174  0.8348
Tl  0.5000  0.8156  0.6312
Rb  0.0000  0.0000  0.0000
Tl  0.5000  0.1844  0.3688
Tl  0.0000  0.3102  0.6203
Hg  0.5000  0.5826  0.1652

***

Number 1: density of states at the Fermi level 6.936 states/eV per cell. Number 2: density of states at the Fermi level 12.307 states/eV per cell. Number 3: density of states at the Fermi level 9.236 states/eV per cell. Number 4: density of states at the Fermi level 5.663 states/eV per cell. Number 5: density of states at the Fermi level 4.067 states/eV per cell. Number 6: density of states at the Fermi level 9.854 states/eV per cell. Number 7: density of states at the Fermi level 8.211 states/eV per cell. Number 8: density of states at the Fermi level 2.548 states/eV per cell. Number 9: density of states at the Fermi level 11.819 states/eV per cell. Number 10: density of states at the Fermi level 6.590 states/eV per cell. Number 11: density of states at the Fermi level 6.320 states/eV per cell. Number 12: density of states at the Fermi level 3.606 states/eV per cell.